1 | Material: MnZnHg3
Method: DFT, GGA-PBE
State: optimized geometry Values from VASP.

Summary:
Calculated volume (Å³ per cell): 134.89
Crystal system: cubic
Symmetry: No. 221
Magnetization (μB/atom): 0.9621
Density of states at the Fermi level (states/eV/cell): 2.72

The structure in Quantum ESPRESSO input format:
```
&SYSTEM
  ibrav = 0, nat = 5, ntyp = 3
/
ATOMIC_SPECIES
Zn 65.41 Zn.upf
Hg 200.59 Hg.upf
Mn 54.94 Mn.upf
ATOMIC_POSITIONS angstrom
Zn 0.0000 0.0000 0.0000
Hg -1.9719 -1.1801 1.1376
Hg 1.3966 -2.1412 0.1996
Hg 0.8581 0.7731 2.2894
Mn 0.2828 -2.5483 3.6266
CELL_PARAMETERS angstrom
-3.9438 -2.3603 2.2752
2.7933 -4.2825 0.3992
1.7161 1.5462 4.5788
```


2 | Material: MnZnHg3
Method: DFT, GGA-PBE
State: optimized geometry Values from VASP.

Summary:
Calculated volume (Å³ per cell): 148.82
Crystal system: cubic
Symmetry: No. 221
Magnetization (μB/atom): 0.7747
Density of states at the Fermi level (states/eV/cell): 5.68

The structure in Quantum ESPRESSO input format:
```
&SYSTEM
  ibrav = 0, nat = 5, ntyp = 3
/
ATOMIC_SPECIES
Mn 54.94 Mn.upf
Hg 200.59 Hg.upf
Zn 65.41 Zn.upf
ATOMIC_POSITIONS angstrom
Mn 0.0000 0.0000 0.0000
Hg -1.3416 -1.6772 -1.5518
Hg -2.2170 1.3909 0.4134
Hg -0.5529 -1.5077 2.1075
Zn -4.1115 -1.7940 0.9691
CELL_PARAMETERS angstrom
-4.4341 2.7818 0.8268
-2.6831 -3.3543 -3.1036
-1.1059 -3.0155 4.2151
```


Relative stability in meV per atom, measured from the most stable structure: 1 101; 2 0


1 | Material: Mn2Zn2Hg
Method: DFT, GGA-PBE
State: optimized geometry Values from VASP.

Summary:
Calculated volume (Å³ per cell): 86.45
Crystal system: tetragonal
Symmetry: No. 139
Magnetization (μB/atom): 1.3827
Density of states at the Fermi level (states/eV/cell): 3.05

The structure in Quantum ESPRESSO input format:
```
&SYSTEM
  ibrav = 0, nat = 5, ntyp = 3
/
ATOMIC_SPECIES
Hg 200.59 Hg.upf
Mn 54.94 Mn.upf
Zn 65.41 Zn.upf
ATOMIC_POSITIONS angstrom
Hg 0.0000 0.0000 0.0000
Mn 1.9053 0.0000 2.9767
Mn 0.0000 1.9053 2.9767
Zn 0.0000 0.0000 7.1866
Zn 0.0000 0.0000 4.7200
CELL_PARAMETERS angstrom
-1.9053 1.9053 5.9533
1.9053 -1.9053 5.9533
1.9053 1.9053 -5.9533
```


2 | Material: Mn2Zn2Hg
Method: DFT, GGA-PBE
State: optimized geometry Values from VASP.

Summary:
Calculated volume (Å³ per cell): 161.98
Crystal system: tetragonal
Symmetry: No. 127
Magnetization (μB/atom): 1.3023
Density of states at the Fermi level (states/eV/cell): 9.57

The structure in Quantum ESPRESSO input format:
```
&SYSTEM
  ibrav = 0, nat = 10, ntyp = 3
/
ATOMIC_SPECIES
Hg 200.59 Hg.upf
Zn 65.41 Zn.upf
Mn 54.94 Mn.upf
ATOMIC_POSITIONS angstrom
Hg 0.0000 0.0000 0.0000
Hg -5.1372 -1.1319 -0.2677
Zn -3.9725 -3.0123 1.9428
Zn -2.8916 0.6292 1.0109
Zn -6.6254 1.5575 0.3079
Zn -7.7062 -2.0839 1.2398
Mn -4.3666 1.6151 -0.9759
Mn -2.3191 -1.7889 0.2502
Mn -7.9552 -0.4749 -0.7857
Mn -5.9078 -3.8789 0.4405
CELL_PARAMETERS angstrom
-6.1433 3.8008 -1.8169
-4.1311 -6.0646 1.2814
-0.3235 0.8090 2.7862
```


Relative stability in meV per atom, measured from the most stable structure: 1 102; 2 0


1 | Material: ZrMnHg
Method: DFT, GGA-PBE
State: optimized geometry Values from VASP.

Summary:
Calculated volume (Å³ per cell): 60.37
Crystal system: trigonal
Symmetry: No. 156
Magnetization (μB/atom): 0.9691
Density of states at the Fermi level (states/eV/cell): 1.83

The structure in Quantum ESPRESSO input format:
```
&SYSTEM
  ibrav = 0, nat = 3, ntyp = 3
/
ATOMIC_SPECIES
Mn 54.94 Mn.upf
Hg 200.59 Hg.upf
Zr 91.22 Zr.upf
ATOMIC_POSITIONS angstrom
Mn 0.0000 1.8211 2.3530
Hg 0.0000 0.0000 0.1031
Zr 1.5772 0.9106 4.5500
CELL_PARAMETERS angstrom
3.1543 0.0000 0.0000
-1.5772 2.7317 0.0000
0.0000 0.0000 7.0061
```


2 | Material: ZrMnHg
Method: DFT, GGA-PBE
State: optimized geometry Values from VASP.

Summary:
Calculated volume (Å³ per cell): 57.20
Crystal system: tetragonal
Symmetry: No. 107
Magnetization (μB/atom): 0.7957
Density of states at the Fermi level (states/eV/cell): 2.41

The structure in Quantum ESPRESSO input format:
```
&SYSTEM
  ibrav = 0, nat = 3, ntyp = 3
/
ATOMIC_SPECIES
Zr 91.22 Zr.upf
Mn 54.94 Mn.upf
Hg 200.59 Hg.upf
ATOMIC_POSITIONS angstrom
Zr 5.8011 2.9603 0.0000
Mn 2.8455 1.4520 0.0000
Hg 8.4880 4.3313 0.0000
CELL_PARAMETERS angstrom
5.3916 0.0148 -0.0783
3.1758 4.3571 0.0783
-4.2465 -2.2587 2.4374
```


3 | Material: ZrMnHg
Method: DFT, GGA-PBE
State: optimized geometry Values from VASP.

Summary:
Calculated volume (Å³ per cell): 71.28
Crystal system: cubic
Symmetry: No. 216
Magnetization (μB/atom): 1.1126
Density of states at the Fermi level (states/eV/cell): 4.91

The structure in Quantum ESPRESSO input format:
```
&SYSTEM
  ibrav = 0, nat = 3, ntyp = 3
/
ATOMIC_SPECIES
Zr 91.22 Zr.upf
Hg 200.59 Hg.upf
Mn 54.94 Mn.upf
ATOMIC_POSITIONS angstrom
Zr 2.3270 1.3435 0.9500
Hg 0.0000 0.0000 0.0000
Mn 4.6539 2.6869 1.9000
CELL_PARAMETERS angstrom
4.6539 0.0000 0.0000
2.3270 4.0304 0.0000
2.3270 1.3435 3.7999
```


4 | Material: ZrMnHg
Method: DFT, GGA-PBE
State: optimized geometry Values from VASP.

Summary:
Calculated volume (Å³ per cell): 59.20
Crystal system: hexagonal
Symmetry: No. 187
Magnetization (μB/atom): 1.0091
Density of states at the Fermi level (states/eV/cell): 2.88

The structure in Quantum ESPRESSO input format:
```
&SYSTEM
  ibrav = 0, nat = 3, ntyp = 3
/
ATOMIC_SPECIES
Mn 54.94 Mn.upf
Zr 91.22 Zr.upf
Hg 200.59 Hg.upf
ATOMIC_POSITIONS angstrom
Mn 2.3197 1.3392 0.5299
Zr 0.0000 2.6785 2.1173
Hg 0.0000 0.0000 0.5291
CELL_PARAMETERS angstrom
4.6393 0.0000 0.0000
-2.3196 4.0177 0.0000
0.0000 0.0000 3.1763
```


Relative stability in meV per atom, measured from the most stable structure: 1 153; 2 0; 3 683; 4 90


1 | Material: ZrMn3Hg
Method: DFT, GGA-PBE
State: optimized geometry Values from VASP.

Summary:
Calculated volume (Å³ per cell): 112.83
Crystal system: cubic
Symmetry: No. 221
Magnetization (μB/atom): 1.8786
Density of states at the Fermi level (states/eV/cell): 4.66

The structure in Quantum ESPRESSO input format:
```
&SYSTEM
  ibrav = 0, nat = 5, ntyp = 3
/
ATOMIC_SPECIES
Mn 54.94 Mn.upf
Hg 200.59 Hg.upf
Zr 91.22 Zr.upf
ATOMIC_POSITIONS angstrom
Mn 0.0000 2.4161 0.0000
Mn 2.4161 0.0000 0.0000
Mn 0.0000 0.0000 2.4161
Hg 2.4161 2.4161 2.4161
Zr 0.0000 0.0000 0.0000
CELL_PARAMETERS angstrom
4.8321 0.0000 0.0000
0.0000 4.8321 0.0000
0.0000 0.0000 4.8321
```


2 | Material: ZrMn3Hg
Method: DFT, GGA-PBE
State: optimized geometry Values from VASP.

Summary:
Calculated volume (Å³ per cell): 118.73
Crystal system: cubic
Symmetry: No. 221
Magnetization (μB/atom): 2.1432
Density of states at the Fermi level (states/eV/cell): 4.57

The structure in Quantum ESPRESSO input format:
```
&SYSTEM
  ibrav = 0, nat = 5, ntyp = 3
/
ATOMIC_SPECIES
Mn 54.94 Mn.upf
Zr 91.22 Zr.upf
Hg 200.59 Hg.upf
ATOMIC_POSITIONS angstrom
Mn 0.0000 2.4575 0.0000
Mn 2.4575 0.0000 0.0000
Mn 0.0000 0.0000 2.4575
Zr 2.4575 2.4575 2.4575
Hg 0.0000 0.0000 0.0000
CELL_PARAMETERS angstrom
4.9149 0.0000 0.0000
0.0000 4.9149 0.0000
0.0000 0.0000 4.9149
```


Relative stability in meV per atom, measured from the most stable structure: 1 112; 2 0


1 | Material: Zr3MnHg
Method: DFT, GGA-PBE
State: optimized geometry Values from VASP.

Summary:
Calculated volume (Å³ per cell): 141.35
Crystal system: cubic
Symmetry: No. 221
Magnetization (μB/atom): 0.0914
Density of states at the Fermi level (states/eV/cell): 16.07

The structure in Quantum ESPRESSO input format:
```
&SYSTEM
  ibrav = 0, nat = 5, ntyp = 3
/
ATOMIC_SPECIES
Zr 91.22 Zr.upf
Mn 54.94 Mn.upf
Hg 200.59 Hg.upf
ATOMIC_POSITIONS angstrom
Zr -2.5008 -0.2245 0.6922
Zr -0.3028 -1.9318 -1.7205
Zr 0.6617 -1.7325 1.8287
Mn -2.1419 -3.8888 0.8004
Hg 0.0000 0.0000 0.0000
CELL_PARAMETERS angstrom
-0.6057 -3.8635 -3.4411
1.3235 -3.4650 3.6575
-5.0016 -0.4490 1.3845
```


2 | Material: Zr3MnHg
Method: DFT, GGA-PBE
State: optimized geometry Values from VASP.

Summary:
Calculated volume (Å³ per cell): 112.63
Crystal system: cubic
Symmetry: No. 221
Magnetization (μB/atom): 0.0000
Density of states at the Fermi level (states/eV/cell): 9.31

The structure in Quantum ESPRESSO input format:
```
&SYSTEM
  ibrav = 0, nat = 5, ntyp = 3
/
ATOMIC_SPECIES
Zr 91.22 Zr.upf
Hg 200.59 Hg.upf
Mn 54.94 Mn.upf
ATOMIC_POSITIONS angstrom
Zr 0.0000 0.0000 2.4146
Zr 2.4146 0.0000 0.0000
Zr 0.0000 2.4146 0.0000
Hg 2.4146 2.4146 2.4146
Mn 0.0000 0.0000 0.0000
CELL_PARAMETERS angstrom
4.8293 0.0000 0.0000
0.0000 4.8293 0.0000
0.0000 0.0000 4.8293
```


Relative stability in meV per atom, measured from the most stable structure: 1 1422; 2 0


1 | Material: Hg2Mo3
Method: DFT, GGA-PBE
State: optimized geometry Values from VASP.

Summary:
Calculated volume (Å³ per cell): 92.87
Crystal system: trigonal
Symmetry: No. 166
Magnetization (μB/atom): 0.0003
Density of states at the Fermi level (states/eV/cell): 5.63

The structure in Quantum ESPRESSO input format:
```
&SYSTEM
  ibrav = 0, nat = 5, ntyp = 2
/
ATOMIC_SPECIES
Mo 95.94 Mo.upf
Hg 200.59 Hg.upf
ATOMIC_POSITIONS angstrom
Mo -27.9197 0.9569 1.2617
Mo -6.6420 0.2276 0.3002
Mo 0.0000 0.0000 0.0000
Hg -20.6804 0.7088 0.9346
Hg -13.8814 0.4757 0.6273
CELL_PARAMETERS angstrom
-11.4868 2.0740 -0.0057
-11.6187 -0.8985 -0.6691
-11.4563 0.0090 2.2366
```


2 | Material: Hg2Mo3
Method: DFT, GGA-PBE
State: optimized geometry Values from VASP.

Summary:
Calculated volume (Å³ per cell): 98.34
Crystal system: trigonal
Symmetry: No. 164
Magnetization (μB/atom): 0.1111
Density of states at the Fermi level (states/eV/cell): 5.84

The structure in Quantum ESPRESSO input format:
```
&SYSTEM
  ibrav = 0, nat = 5, ntyp = 2
/
ATOMIC_SPECIES
Mo 95.94 Mo.upf
Hg 200.59 Hg.upf
ATOMIC_POSITIONS angstrom
Mo -0.2611 2.6732 3.5707
Mo -1.2214 -0.1892 3.0298
Mo 0.0000 0.0000 0.0000
Hg -0.0238 0.5149 5.3279
Hg -1.4586 1.9691 1.2726
CELL_PARAMETERS angstrom
-1.6562 4.1507 -0.4085
-2.3409 -3.1451 2.1834
2.5147 1.4784 4.8257
```


Relative stability in meV per atom, measured from the most stable structure: 1 0; 2 750